P:
! Dy4Y5In, optimized geometry, DFT PBE; values from VASP
! space-group type	No. 107
&SYSTEM
  ibrav = 0, nat = 10, ntyp = 3
/
ATOMIC_SPECIES
Dy 162.50 Dy.upf
Y 88.91 Y.upf
In 114.82 In.upf
CELL_PARAMETERS angstrom
-5.779 0.625 0.094
-3.145 -3.047 6.749
-2.115 6.971 3.414
ATOMIC_POSITIONS crystal
Dy 0.458 0.318 0.682
Dy 0.775 0.682 0.682
Dy 0.140 0.318 0.318
Dy 0.458 0.682 0.318
Y 0.773 0.371 0.000
Y 0.144 0.000 0.629
Y 0.773 0.000 0.371
Y 0.144 0.629 0.000
Y 0.663 0.000 0.000
In 0.182 0.000 0.000

=====

Q:
! Dy4Y5In, optimized geometry, DFT PBE; values from VASP
! space-group type	No. 123
&SYSTEM
  ibrav = 0, nat = 10, ntyp = 3
/
ATOMIC_SPECIES
Dy 162.50 Dy.upf
Y 88.91 Y.upf
In 114.82 In.upf
CELL_PARAMETERS angstrom
-2.682 -1.228 1.999
2.015 0.349 2.918
-8.231 22.792 2.955
ATOMIC_POSITIONS crystal
Dy 0.000 0.000 0.190
Dy 0.000 0.000 0.397
Dy 0.000 0.000 0.603
Dy 0.000 0.000 0.810
Y 0.500 0.500 0.086
Y 0.500 0.500 0.294
Y 0.500 0.500 0.500
Y 0.500 0.500 0.706
Y 0.500 0.500 0.914
In 0.000 0.000 0.000

=====

On energetic grounds, Q is preferred over the next structure by 19.8 kJ/mol of atoms.

=====

P:
! Dy6Y3In, optimized geometry, DFT PBE; values from VASP
! space-group type	No. 36
&SYSTEM
  ibrav = 0, nat = 20, ntyp = 3
/
ATOMIC_SPECIES
Dy 162.50 Dy.upf
Y 88.91 Y.upf
In 114.82 In.upf
CELL_PARAMETERS angstrom
-0.614 4.831 -3.702
-6.342 -5.869 -6.608
-4.507 5.655 8.127
ATOMIC_POSITIONS crystal
Dy 0.031 0.712 0.612
Dy 0.531 0.612 0.712
Dy 0.344 0.518 0.947
Dy 0.844 0.947 0.518
Dy 0.446 0.944 0.056
Dy 0.664 0.270 0.730
Dy 0.164 0.730 0.270
Dy 0.946 0.056 0.944
Dy 0.344 0.053 0.482
Dy 0.844 0.482 0.053
Dy 0.031 0.388 0.288
Dy 0.531 0.288 0.388
Y 0.464 0.944 0.731
Y 0.964 0.731 0.944
Y 0.057 0.390 0.610
Y 0.557 0.610 0.390
Y 0.964 0.056 0.269
Y 0.464 0.269 0.056
In 0.142 0.212 0.788
In 0.642 0.788 0.212

=====

Q:
! Dy6Y3In, optimized geometry, DFT PBE; values from VASP
! space-group type	No. 11
&SYSTEM
  ibrav = 0, nat = 20, ntyp = 3
/
ATOMIC_SPECIES
Dy 162.50 Dy.upf
Y 88.91 Y.upf
In 114.82 In.upf
CELL_PARAMETERS angstrom
-0.828 3.504 -4.234
-5.082 -6.789 -4.625
-6.914 7.554 7.603
ATOMIC_POSITIONS crystal
Dy 0.750 0.610 0.070
Dy 0.250 0.390 0.930
Dy 0.750 0.023 0.175
Dy 0.250 0.977 0.825
Dy 0.750 0.976 0.670
Dy 0.250 0.024 0.330
Dy 0.750 0.251 0.489
Dy 0.250 0.749 0.511
Dy 0.750 0.453 0.299
Dy 0.250 0.547 0.701
Dy 0.750 0.787 0.861
Dy 0.250 0.213 0.139
Y 0.750 0.848 0.372
Y 0.250 0.152 0.628
Y 0.750 0.380 0.779
Y 0.250 0.620 0.221
Y 0.750 0.201 0.974
Y 0.250 0.799 0.026
In 0.750 0.616 0.584
In 0.250 0.384 0.416

=====

On energetic grounds, Q is preferred over the next structure by 7.4 kJ/mol of atoms.

=====

P:
! DyY4In2, optimized geometry, DFT PBE; values from VASP
! space-group type	No. 14
&SYSTEM
  ibrav = 0, nat = 14, ntyp = 3
/
ATOMIC_SPECIES
Dy 162.50 Dy.upf
Y 88.91 Y.upf
In 114.82 In.upf
CELL_PARAMETERS angstrom
-3.349 9.579 3.313
-6.546 -1.765 -1.516
3.363 -1.010 6.320
ATOMIC_POSITIONS crystal
Dy 0.000 0.000 0.000
Dy 0.500 0.500 0.000
Y 0.833 0.501 0.001
Y 0.781 0.501 0.501
Y 0.719 0.001 0.501
Y 0.667 0.001 0.001
Y 0.333 0.999 0.999
Y 0.281 0.999 0.499
Y 0.219 0.499 0.499
Y 0.167 0.499 0.999
In 0.000 0.772 0.463
In 0.000 0.228 0.537
In 0.500 0.728 0.537
In 0.500 0.272 0.463

=====

Q:
! DyY4In2, optimized geometry, DFT PBE; values from VASP
! space-group type	No. 136
&SYSTEM
  ibrav = 0, nat = 14, ntyp = 3
/
ATOMIC_SPECIES
Dy 162.50 Dy.upf
Y 88.91 Y.upf
In 114.82 In.upf
CELL_PARAMETERS angstrom
5.328 0.000 0.000
0.000 9.087 0.000
0.000 0.000 9.087
ATOMIC_POSITIONS crystal
Dy 0.500 0.000 0.000
Dy 0.000 0.500 0.500
Y 0.000 0.075 0.330
Y 0.000 0.925 0.670
Y 0.500 0.170 0.575
Y 0.500 0.830 0.425
Y 0.500 0.425 0.830
Y 0.500 0.575 0.170
Y 0.000 0.330 0.075
Y 0.000 0.670 0.925
In 0.000 0.256 0.744
In 0.000 0.744 0.256
In 0.500 0.756 0.756
In 0.500 0.244 0.244

=====

On energetic grounds, Q is preferred over the next structure by 1.0 kJ/mol of atoms.